--- w ---
VASP calculation (PBE-GGA) on Dy2SnBi after structural relaxation.

POSCAR file:
```
Dy2SnBi
1.0
4.2970 0.0000 0.0000
-2.1485 3.7213 0.0000
0.0000 0.0000 23.0627
Dy Sn Bi
6 3 3
direct
0.0000 0.0000 0.2500
0.0000 0.0000 0.7500
0.3333 0.6667 0.4167
0.3333 0.6667 0.9166
0.6667 0.3333 0.0834
0.6667 0.3333 0.5833
0.0000 0.0000 0.0000
0.3333 0.6667 0.6667
0.6667 0.3333 0.3333
0.0000 0.0000 0.5000
0.3333 0.6667 0.1667
0.6667 0.3333 0.8333
```

***

--- x ---
VASP calculation (PBE-GGA) on Dy2SnBi after structural relaxation.

POSCAR file:
```
Dy2SnBi
1.0
4.0520 0.0000 0.0000
0.0000 4.0520 0.0000
0.0000 0.0000 6.8321
Dy Sn Bi
2 1 1
direct
0.0000 0.0000 0.2463
0.0000 0.0000 0.7537
0.5000 0.5000 0.0000
0.5000 0.5000 0.5000
```

***

Which structure is the most stable? The one labeled w.

***

--- w ---
VASP calculation (PBE-GGA) on DySn2Bi after structural relaxation.

POSCAR file:
```
DySn2Bi
1.0
5.0789 0.0000 0.0000
-2.5395 4.3985 0.0000
0.0000 0.0000 23.3006
Dy Sn Bi
3 6 3
direct
0.0000 0.0000 0.0000
0.3333 0.6667 0.6667
0.6667 0.3333 0.3333
0.0000 0.0000 0.3767
0.0000 0.0000 0.6233
0.3333 0.6667 0.0434
0.3333 0.6667 0.2900
0.6667 0.3333 0.7100
0.6667 0.3333 0.9566
0.0000 0.0000 0.5000
0.3333 0.6667 0.1667
0.6667 0.3333 0.8333
```

***

--- x ---
VASP calculation (PBE-GGA) on DySn2Bi after structural relaxation.

POSCAR file:
```
DySn2Bi
1.0
4.7450 0.0000 0.0000
0.0000 4.7450 0.0000
0.0000 0.0000 4.9271
Dy Sn Bi
1 2 1
direct
0.0000 0.0000 0.0000
0.0000 0.5000 0.5000
0.5000 0.0000 0.5000
0.5000 0.5000 0.0000
```

***

Which structure is the most stable? The one labeled x.

***

--- w ---
VASP calculation (PBE-GGA) on Tb2DyBi after structural relaxation.

POSCAR file:
```
Tb2DyBi
1.0
4.0416 0.0000 0.0000
-2.0208 3.5001 0.0000
0.0000 0.0000 28.6249
Tb Dy Bi
6 3 3
direct
0.0000 0.0000 0.0000
0.0000 0.0000 0.1919
0.3333 0.6667 0.6667
0.3333 0.6667 0.8586
0.6667 0.3333 0.3333
0.6667 0.3333 0.5253
0.0000 0.0000 0.4296
0.3333 0.6667 0.0962
0.6667 0.3333 0.7629
0.0000 0.0000 0.5956
0.3333 0.6667 0.2623
0.6667 0.3333 0.9290
```

***

--- x ---
VASP calculation (PBE-GGA) on Tb2DyBi after structural relaxation.

POSCAR file:
```
Tb2DyBi
1.0
4.1699 0.0000 0.0000
0.0000 4.1699 0.0000
0.0000 0.0000 6.9257
Tb Dy Bi
2 1 1
direct
0.0000 0.0000 0.2378
0.0000 0.0000 0.7622
0.5000 0.5000 0.5000
0.5000 0.5000 0.0000
```

***

Which structure is the most stable? The one labeled x.